1.
VASP calculation (PBE-GGA) on crystalline Sm6ErSc3 at its relaxed geometry.

V = 618.00 Å³ per cell
formation enthalpy at 0 K = 1.4 eV/f.u.
density of states at the Fermi level = 31.15 states/eV/cell
magnetic moment = 0.00 μB/f.u.
uncorrected energy = -50.48 eV/f.u.

Unit cell a=11.3928 b=11.3928 c=6.2811 alpha=90.00 beta=90.00 gamma=130.71
Closest atoms and distances in Å follow each position.
Element x y z (fractional)
Sm 0.0147 0.9853 0.5000  2 Sm 3.20, 1 Er 3.25, 4 Sc 3.34-3.57
Sm 0.1048 0.5423 0.9572  3 Sc 3.20-3.55, 3 Sm 3.35-3.53, 1 Er 3.57
Sm 0.2635 0.3784 0.6937  3 Sc 3.26-3.51, 3 Sm 3.40-3.63
Sm 0.3022 0.6978 0.4780  1 Sc 3.05, 1 Er 3.34
Sm 0.3784 0.2635 0.1937  3 Sc 3.26-3.51, 3 Sm 3.40-3.63
Sm 0.4577 0.8952 0.9572  3 Sc 3.20-3.55, 3 Sm 3.35-3.53, 1 Er 3.57
Sm 0.5423 0.1048 0.4572  3 Sc 3.20-3.55, 3 Sm 3.35-3.53, 1 Er 3.57
Sm 0.6216 0.7365 0.6937  3 Sc 3.26-3.51, 3 Sm 3.40-3.63
Sm 0.6978 0.3022 0.9780  1 Sc 3.05, 1 Er 3.34
Sm 0.7365 0.6216 0.1937  3 Sc 3.26-3.51, 3 Sm 3.40-3.63
Sm 0.8952 0.4577 0.4572  3 Sc 3.20-3.55, 3 Sm 3.35-3.53, 1 Er 3.57
Sm 0.9853 0.0147 0.0000  2 Sm 3.20, 1 Er 3.25, 4 Sc 3.34-3.57
Er 0.1544 0.8456 0.2632  4 Sm 3.25-3.57, 2 Sc 3.42
Er 0.8456 0.1544 0.7632  4 Sm 3.25-3.57, 2 Sc 3.42
Sc 0.0408 0.2934 0.2900  2 Sc 3.17-3.37, 4 Sm 3.20-3.38, 1 Er 3.42
Sc 0.2934 0.0408 0.7900  2 Sc 3.17-3.37, 4 Sm 3.20-3.38, 1 Er 3.42
Sc 0.4173 0.5827 0.1756  3 Sm 3.05-3.37, 2 Sc 3.37
Sc 0.5827 0.4173 0.6756  3 Sm 3.05-3.37, 2 Sc 3.37
Sc 0.7066 0.9592 0.2900  2 Sc 3.17-3.37, 4 Sm 3.20-3.38, 1 Er 3.42
Sc 0.9592 0.7066 0.7900  2 Sc 3.17-3.37, 4 Sm 3.20-3.38, 1 Er 3.42

=====

2.
VASP calculation (PBE-GGA) on crystalline SmEr2Sc6 at its relaxed geometry.

V = 586.97 Å³ per cell
formation enthalpy at 0 K = 7.7 eV/f.u.
density of states at the Fermi level = 35.13 states/eV/cell
magnetic moment = 0.01 μB/f.u.
uncorrected energy = -44.11 eV/f.u.

Unit cell a=7.7962 b=7.7962 c=9.6573 alpha=90.00 beta=90.00 gamma=90.00
Closest atoms and distances in Å follow each position.
Element x y z (fractional)
Sm 0.0000 0.0000 0.0000  6 Sc 2.89-3.08, 2 Er 3.21
Sm 0.5000 0.5000 0.5000  6 Sc 2.89-3.08, 2 Er 3.21
Er 0.0000 0.0000 0.3328  6 Sc 2.87-3.10, 1 Sm 3.21
Er 0.0000 0.0000 0.6672  6 Sc 2.87-3.10, 1 Sm 3.21
Er 0.5000 0.5000 0.1672  6 Sc 2.87-3.10, 1 Sm 3.21
Er 0.5000 0.5000 0.8328  6 Sc 2.87-3.10, 1 Sm 3.21
Sc 0.2380 0.2380 0.5000  1 Sm 2.89, 2 Er 3.08
Sc 0.2395 0.2395 0.1647  2 Er 2.87-3.10, 1 Sm 3.08, 1 Sc 3.18
Sc 0.2395 0.2395 0.8353  2 Er 2.87-3.10, 1 Sm 3.08, 1 Sc 3.18
Sc 0.2605 0.7395 0.3353  2 Er 2.87-3.10, 1 Sm 3.08, 1 Sc 3.18
Sc 0.2605 0.7395 0.6647  2 Er 2.87-3.10, 1 Sm 3.08, 1 Sc 3.18
Sc 0.2620 0.7380 0.0000  1 Sm 2.89, 2 Er 3.08
Sc 0.7380 0.2620 0.0000  1 Sm 2.89, 2 Er 3.08
Sc 0.7395 0.2605 0.3353  2 Er 2.87-3.10, 1 Sm 3.08, 1 Sc 3.18
Sc 0.7395 0.2605 0.6647  2 Er 2.87-3.10, 1 Sm 3.08, 1 Sc 3.18
Sc 0.7605 0.7605 0.1647  2 Er 2.87-3.10, 1 Sm 3.08, 1 Sc 3.18
Sc 0.7605 0.7605 0.8353  2 Er 2.87-3.10, 1 Sm 3.08, 1 Sc 3.18
Sc 0.7620 0.7620 0.5000  1 Sm 2.89, 2 Er 3.08

=====

3.
VASP calculation (PBE-GGA) on crystalline Sm2ErSc8 at its relaxed geometry.

V = 298.12 Å³ per cell
formation enthalpy at 0 K = 1.7 eV/f.u.
density of states at the Fermi level = 16.08 states/eV/cell
magnetic moment = 0.00 μB/f.u.
uncorrected energy = -62.98 eV/f.u.

Unit cell a=8.8147 b=8.8147 c=5.5163 alpha=106.55 beta=106.55 gamma=121.28
Closest atoms and distances in Å follow each position.
Element x y z (fractional)
Sm 0.1934 0.8066 0.0000  10 Sc 3.17-3.53
Sm 0.8066 0.1934 0.0000  10 Sc 3.17-3.53
Er 0.5000 0.5000 0.5000  4 Sc 3.15-3.33
Sc 0.0523 0.0523 0.2877  4 Sc 2.75-2.99
Sc 0.1667 0.4036 0.8122  3 Sc 2.99-3.20, 1 Sm 3.26
Sc 0.2947 0.7053 0.5000  1 Er 3.15, 4 Sm 3.17-3.53, 6 Sc 3.38-3.45
Sc 0.4036 0.1667 0.8122  3 Sc 2.99-3.20, 1 Sm 3.26
Sc 0.5964 0.8333 0.1878  3 Sc 2.99-3.20, 1 Sm 3.26
Sc 0.7053 0.2947 0.5000  1 Er 3.15, 4 Sm 3.17-3.53, 6 Sc 3.38-3.45
Sc 0.8333 0.5964 0.1878  3 Sc 2.99-3.20, 1 Sm 3.26
Sc 0.9477 0.9477 0.7123  4 Sc 2.75-2.99